Here is an optimized crystal structure of Fe14SiTc from the Alexandria database. Energies are from PBE-GGA.

The structure in POSCAR format:
```
Fe14SiTc
1.0
-2.990 3.356 2.032
1.456 -3.153 3.503
6.334 4.685 1.584
Fe Si Tc
14 1 1
direct
0.125 0.875 0.000 Fe
0.625 0.375 0.000 Fe
0.125 0.375 0.500 Fe
0.125 0.375 0.000 Fe
0.625 0.875 0.500 Fe
0.625 0.875 0.000 Fe
0.372 0.122 0.753 Fe
0.372 0.122 0.247 Fe
0.878 0.628 0.753 Fe
0.878 0.628 0.247 Fe
0.374 0.626 0.750 Fe
0.374 0.626 0.250 Fe
0.876 0.124 0.750 Fe
0.876 0.124 0.250 Fe
0.125 0.875 0.500 Si
0.625 0.375 0.500 Tc
```

Calculated values
Its calculated total energy is -8.42 eV per atom. The space-group type is Cmmm. Its raw formation energy is -0.033 eV/atom. As for the crystal system: orthorhombic.